No. 1
Below is a relaxed NaCoReAu crystal, with properties calculated at the PBE level.

Cell: 4.3564 4.3564 4.3564 Å, 60.00 60.00 60.00°
Last column: nearest neighbours and their distance in Å.
Atoms (fractional coordinates):
Au 0.7500 0.7500 0.7500  4 Na 2.67, 4 Co 2.67
Na 0.5000 0.5000 0.5000  4 Au 2.67, 4 Re 2.67
Re 0.2500 0.2500 0.2500  4 Co 2.67, 4 Na 2.67
Co 0.0000 0.0000 0.0000  4 Au 2.67, 4 Re 2.67

Space-group type ... F-43m

No. 2
Below is a relaxed NaCoReAu crystal, with properties calculated at the PBE level.

Cell: 4.4364 4.4364 4.4364 Å, 60.00 60.00 60.00°
Last column: nearest neighbours and their distance in Å.
Atoms (fractional coordinates):
Re 0.2500 0.2500 0.2500  4 Au 2.72, 4 Co 2.72
Au 0.5000 0.5000 0.5000  4 Re 2.72, 4 Na 2.72
Na 0.7500 0.7500 0.7500  4 Au 2.72, 4 Co 2.72
Co 0.0000 0.0000 0.0000  4 Na 2.72, 4 Re 2.72

Space-group type ... F-43m

No. 3
Below is a relaxed NaCoTe2AuS crystal, with properties calculated at the PBE level.

Cell: 6.9893 6.9893 10.5781 Å, 90.00 90.00 148.23°
Last column: nearest neighbours and their distance in Å.
Atoms (fractional coordinates):
S 0.9493 0.0507 0.7500  2 Au 2.64, 2 Co 2.73
S 0.0507 0.9493 0.2500  2 Au 2.64, 2 Co 2.73
Te 0.6273 0.3728 0.5070  2 Co 2.57, 1 Au 2.64
Te 0.3728 0.6273 0.0070  2 Co 2.57, 1 Au 2.64
Te 0.6273 0.3728 0.9930  2 Co 2.57, 1 Au 2.64
Te 0.3728 0.6273 0.4930  2 Co 2.57, 1 Au 2.64
Au 0.4159 0.5841 0.2500  2 Te 2.64, 2 S 2.64
Au 0.5841 0.4159 0.7500  2 Te 2.64, 2 S 2.64
Na 0.7390 0.2610 0.2500  2 Au 3.05, 2 Te 3.11, 2 S 3.17
Na 0.2610 0.7390 0.7500  2 Au 3.05, 2 Te 3.11, 2 S 3.17
Co 0.0000 0.0000 0.5000  4 Te 2.57, 2 S 2.73
Co 0.0000 0.0000 0.0000  4 Te 2.57, 2 S 2.73

Space-group type ... Cmcm

No. 4
Below is a relaxed NaCoTeAuS2 crystal, with properties calculated at the PBE level.

Cell: 7.9506 7.9506 9.9912 Å, 90.00 90.00 155.54°
Last column: nearest neighbours and their distance in Å.
Atoms (fractional coordinates):
Na 0.7716 0.2284 0.7500  2 Au 2.93, 2 Te 3.15
Na 0.2284 0.7716 0.2500  2 Au 2.93, 2 Te 3.15
S 0.0984 0.9016 0.5177  2 Co 2.28, 1 Au 2.34
S 0.9016 0.0984 0.0177  2 Co 2.28, 1 Au 2.34
S 0.0984 0.9016 0.9823  2 Co 2.28, 1 Au 2.34
S 0.9016 0.0984 0.4823  2 Co 2.28, 1 Au 2.34
Te 0.4428 0.5572 0.7500  2 Co 2.65
Te 0.5572 0.4428 0.2500  2 Co 2.65
Au 0.8823 0.1177 0.2500  2 S 2.34
Au 0.1177 0.8823 0.7500  2 S 2.34
Co 0.5000 0.5000 0.0000  4 S 2.28
Co 0.5000 0.5000 0.5000  4 S 2.28

Space-group type ... Cmcm

No. 5
Below is a relaxed NaCoAuSe3 crystal, with properties calculated at the PBE level.

Cell: 3.5112 7.5730 9.9130 Å, 90.00 90.00 76.60°
Last column: nearest neighbours and their distance in Å.
Atoms (fractional coordinates):
Se 0.9523 0.0954 0.7500  2 Co 2.58
Se 0.3890 0.2221 0.0042  2 Co 2.40, 1 Au 2.44
Se 0.0477 0.9046 0.2500  2 Co 2.58
Se 0.3890 0.2221 0.4958  2 Co 2.40, 1 Au 2.44
Se 0.6110 0.7779 0.5042  2 Co 2.40, 1 Au 2.44
Se 0.6110 0.7779 0.9958  2 Co 2.40, 1 Au 2.44
Au 0.6182 0.7636 0.7500  2 Se 2.44
Au 0.3818 0.2364 0.2500  2 Se 2.44
Co 0.0000 0.0000 0.5000  6 Se 2.40-2.58
Co 0.0000 0.0000 0.0000  6 Se 2.40-2.58
Na 0.7212 0.5576 0.2500  2 Au 2.95, 4 Se 3.00-3.10
Na 0.2788 0.4424 0.7500  2 Au 2.95, 4 Se 3.00-3.10

Space-group type ... Cmcm

No. 6
Below is a relaxed NaCoTe2AuSe crystal, with properties calculated at the PBE level.

Cell: 7.6399 7.6399 10.3720 Å, 90.00 90.00 151.52°
Last column: nearest neighbours and their distance in Å.
Atoms (fractional coordinates):
Se 0.4548 0.5452 0.2500  2 Co 2.68, 2 Au 2.94
Se 0.5452 0.4548 0.7500  2 Co 2.68, 2 Au 2.94
Te 0.8827 0.1173 0.4985  2 Co 2.56, 1 Au 2.61
Te 0.8827 0.1173 0.0015  2 Co 2.56, 1 Au 2.61
Te 0.1173 0.8827 0.9985  2 Co 2.56, 1 Au 2.61
Te 0.1173 0.8827 0.5015  2 Co 2.56, 1 Au 2.61
Au 0.1076 0.8924 0.2500  2 Te 2.61
Au 0.8924 0.1076 0.7500  2 Te 2.61
Na 0.7621 0.2379 0.2500  2 Au 2.96, 2 Te 3.14
Na 0.2379 0.7621 0.7500  2 Au 2.96, 2 Te 3.14
Co 0.5000 0.5000 0.0000  4 Te 2.56, 2 Se 2.68
Co 0.5000 0.5000 0.5000  4 Te 2.56, 2 Se 2.68

Space-group type ... Cmcm

Electronic total energy? In order: -5.202 -5.197 -3.787 -4.154 -3.956 -3.739 eV/atom.